Entry 1:
Here is crystalline TiTl3Cu at its relaxed geometry from Alexandria via LeMat-Bulk. Energies are from GGA-PBE.

Unit cell a=5.090 b=5.090 c=5.090 alpha=90.00 beta=90.00 gamma=90.00
Element x y z (fractional)
Ti1 0.000 0.000 0.000
Tl1 0.000 0.500 0.500
Tl2 0.500 0.000 0.500
Tl3 0.500 0.500 0.000
Cu1 0.500 0.500 0.500

Summary:
Space group   No. 221
Spin magnetization   0.00 μB/f.u.

Entry 2:
Here is crystalline Ti2TlCu at its relaxed geometry from Alexandria via LeMat-Bulk. Energies are from GGA-PBE.

Unit cell a=4.082 b=4.082 c=4.142 alpha=90.00 beta=90.00 gamma=90.00
Element x y z (fractional)
Ti1 0.000 0.500 0.000
Ti2 0.500 0.000 0.000
Tl1 0.000 0.000 0.500
Cu1 0.500 0.500 0.500

Summary:
Space group   No. 123
Spin magnetization   1.46 μB/f.u.

Calculated energy of formation, 0.720; 0.061 eV/atom (same order as the records).